[1]
SeS3O | PBE | relaxed

POSCAR file:
```
SeS3O
1.0
4.7129 0.0000 0.0000
0.0000 4.7129 0.0000
0.0000 0.0000 4.7129
Se S O
1 3 1
Direct
0.0000 0.0000 0.0000
0.0000 0.0000 0.5000
0.0000 0.5000 0.0000
0.5000 0.0000 0.0000
0.5000 0.5000 0.5000
```

## Properties
**Raw formation energy**: 1.50 eV per atom
**Density of states at the Fermi level**: 1.73 states/eV/atom
**Energy above the most stable polymorph in this dataset**: 458.4 meV/atom


[2]
Se2SO | PBE | relaxed

POSCAR file:
```
Se2SO
1.0
-3.1846 3.1846 3.5250
3.1846 -3.1846 3.5250
3.1846 3.1846 -3.5250
Se S O
4 2 2
Direct
0.0945 0.1250 0.4695
0.3750 0.9055 0.0305
0.6555 0.6250 0.5305
0.8750 0.3445 0.9695
0.2500 0.7500 0.5000
0.5000 0.5000 0.0000
0.0000 0.0000 0.0000
0.7500 0.2500 0.5000
```

## Properties
**Raw formation energy**: 0.46 eV per atom
**Density of states at the Fermi level**: 0.00 states/eV/atom
**Energy above the most stable polymorph in this dataset**: 148.9 meV/atom